[1]
Entry from Alexandria via LeMat-Bulk: BaP2Os after structural relaxation (PBEsol). Values from VASP.

Geometry as Quantum ESPRESSO input:
```
&SYSTEM
  ibrav = 0, nat = 4, ntyp = 3
/
ATOMIC_SPECIES
P 30.97 P.upf
Os 190.23 Os.upf
Ba 137.33 Ba.upf
CELL_PARAMETERS angstrom
4.706 0.000 0.000
2.353 4.076 0.000
2.353 1.359 3.843
ATOMIC_POSITIONS crystal
P 0.250 0.250 0.250
P 0.750 0.750 0.750
Os 0.000 0.000 0.000
Ba 0.500 0.500 0.500
```

Output
As for the symmetry: No. 225. The formation energy is 1.6 eV/f.u. As for the total DFT energy (no corrections): -6.092 eV/atom. The distance to the lowest polymorph of the same formula is 0.0 meV per atom. For the magnetic moment, the calculation gives 0.0 μB/f.u.



[2]
Entry from Alexandria via LeMat-Bulk: BaPOs2S after structural relaxation (PBEsol). Values from VASP.

Geometry as Quantum ESPRESSO input:
```
&SYSTEM
  ibrav = 0, nat = 5, ntyp = 4
/
ATOMIC_SPECIES
Ba 137.33 Ba.upf
P 30.97 P.upf
Os 190.23 Os.upf
S 32.06 S.upf
CELL_PARAMETERS angstrom
-3.517 -0.920 -2.436
0.645 -4.274 0.683
-3.025 0.228 4.282
ATOMIC_POSITIONS crystal
Ba 0.500 0.500 0.500
P 0.000 0.000 0.500
Os 0.500 0.000 0.000
Os 0.000 0.500 0.000
S 0.000 0.000 0.000
```

Output
As for the symmetry: No. 123. The calculation puts the formation energy from raw total energies at 0.76 eV per atom. As for the total DFT energy (no corrections): -6.596 eV/atom. For the magnetic moment, the calculation gives 0.0 μB/f.u.



[3]
Entry from Alexandria via LeMat-Bulk: BaPOsS2 after structural relaxation (PBEsol). Values from VASP.

Geometry as Quantum ESPRESSO input:
```
&SYSTEM
  ibrav = 0, nat = 5, ntyp = 4
/
ATOMIC_SPECIES
Ba 137.33 Ba.upf
S 32.06 S.upf
P 30.97 P.upf
Os 190.23 Os.upf
CELL_PARAMETERS angstrom
-4.639 -2.618 -0.789
2.629 -3.842 -2.706
0.780 -2.816 4.756
ATOMIC_POSITIONS crystal
Ba 0.000 0.000 0.000
S 0.500 0.000 0.000
S 0.000 0.500 0.000
P 0.000 0.000 0.500
Os 0.500 0.500 0.500
```

Output
As for the symmetry: No. 123. The calculation puts the formation energy from raw total energies at 2.22 eV per atom. As for the total DFT energy (no corrections): -3.569 eV/atom. For the magnetic moment, the calculation gives 4.7 μB/f.u.



[4]
Entry from Alexandria via LeMat-Bulk: Ba2TlPOs after structural relaxation (PBEsol). Values from VASP.

Geometry as Quantum ESPRESSO input:
```
&SYSTEM
  ibrav = 0, nat = 5, ntyp = 4
/
ATOMIC_SPECIES
P 30.97 P.upf
Tl 204.38 Tl.upf
Os 190.23 Os.upf
Ba 137.33 Ba.upf
CELL_PARAMETERS angstrom
4.352 0.000 0.000
0.000 6.096 0.000
0.000 0.000 6.096
ATOMIC_POSITIONS crystal
P 0.000 0.000 0.000
Tl 0.500 0.500 0.500
Os 0.500 0.000 0.000
Ba 0.000 0.500 0.000
Ba 0.000 0.000 0.500
```

Output
As for the symmetry: No. 123. The formation energy is -0.6 eV/f.u. As for the total DFT energy (no corrections): -5.103 eV/atom. For the magnetic moment, the calculation gives 0.0 μB/f.u.



[5]
Entry from Alexandria via LeMat-Bulk: BaOsPb after structural relaxation (PBEsol). Values from VASP.

Geometry as Quantum ESPRESSO input:
```
&SYSTEM
  ibrav = 0, nat = 3, ntyp = 3
/
ATOMIC_SPECIES
Ba 137.33 Ba.upf
Pb 207.20 Pb.upf
Os 190.23 Os.upf
CELL_PARAMETERS angstrom
4.604 0.000 0.000
-2.302 3.987 0.000
0.000 0.000 4.839
ATOMIC_POSITIONS crystal
Ba 0.000 0.000 0.000
Pb 0.667 0.333 0.500
Os 0.333 0.667 0.500
```

Output
As for the symmetry: No. 187. The formation energy is 1.6 eV/f.u. As for the total DFT energy (no corrections): -5.582 eV/atom. For the magnetic moment, the calculation gives 0.0 μB/f.u.



[6]
Entry from Alexandria via LeMat-Bulk: BaOs2Pb after structural relaxation (PBEsol). Values from VASP.

Geometry as Quantum ESPRESSO input:
```
&SYSTEM
  ibrav = 0, nat = 4, ntyp = 3
/
ATOMIC_SPECIES
Os 190.23 Os.upf
Ba 137.33 Ba.upf
Pb 207.20 Pb.upf
CELL_PARAMETERS angstrom
-3.020 -2.994 0.665
1.146 -4.061 0.849
-0.561 -1.006 6.857
ATOMIC_POSITIONS crystal
Os 0.947 0.947 0.159
Os 0.279 0.279 0.163
Ba 0.735 0.735 0.796
Pb 0.534 0.534 0.399
```

Output
As for the symmetry: No. 160. The formation energy is 1.2 eV/f.u. As for the total DFT energy (no corrections): -7.338 eV/atom. For the magnetic moment, the calculation gives 0.0 μB/f.u.



[7]
Entry from Alexandria via LeMat-Bulk: BaOs2Pb after structural relaxation (PBEsol). Values from VASP.

Geometry as Quantum ESPRESSO input:
```
&SYSTEM
  ibrav = 0, nat = 4, ntyp = 3
/
ATOMIC_SPECIES
Ba 137.33 Ba.upf
Pb 207.20 Pb.upf
Os 190.23 Os.upf
CELL_PARAMETERS angstrom
3.999 0.000 0.000
0.000 4.516 0.591
0.000 -0.592 4.516
ATOMIC_POSITIONS crystal
Ba 0.500 0.500 0.500
Pb 0.500 0.000 0.000
Os 0.000 0.000 0.500
Os 0.000 0.500 0.000
```

Output
As for the symmetry: No. 123. The formation energy is 5.7 eV/f.u. As for the total DFT energy (no corrections): -6.232 eV/atom. For the magnetic moment, the calculation gives 0.9 μB/f.u.



[8]
Entry from Alexandria via LeMat-Bulk: BaOs2Pb after structural relaxation (PBEsol). Values from VASP.

Geometry as Quantum ESPRESSO input:
```
&SYSTEM
  ibrav = 0, nat = 4, ntyp = 3
/
ATOMIC_SPECIES
Ba 137.33 Ba.upf
Os 190.23 Os.upf
Pb 207.20 Pb.upf
CELL_PARAMETERS angstrom
-0.033 2.952 -0.498
-0.276 -0.605 -3.567
-8.313 0.016 0.640
ATOMIC_POSITIONS crystal
Ba 0.500 0.500 0.786
Os 0.500 0.500 0.204
Os 0.000 0.000 0.076
Pb 0.000 0.000 0.435
```

Output
As for the symmetry: No. 25. The formation energy is 2.0 eV/f.u. As for the total DFT energy (no corrections): -7.138 eV/atom. For the magnetic moment, the calculation gives 0.0 μB/f.u.



[9]
Entry from Alexandria via LeMat-Bulk: Ba2OsPb after structural relaxation (PBEsol). Values from VASP.

Geometry as Quantum ESPRESSO input:
```
&SYSTEM
  ibrav = 0, nat = 4, ntyp = 3
/
ATOMIC_SPECIES
Os 190.23 Os.upf
Ba 137.33 Ba.upf
Pb 207.20 Pb.upf
CELL_PARAMETERS angstrom
-0.674 2.464 -2.602
-2.918 -1.914 -1.057
-5.563 5.046 6.218
ATOMIC_POSITIONS crystal
Os 0.000 0.000 0.558
Ba 0.000 0.000 0.925
Ba 0.500 0.500 0.337
Pb 0.500 0.500 0.681
```

Output
As for the symmetry: No. 99. The formation energy is 1.7 eV/f.u. As for the total DFT energy (no corrections): -4.712 eV/atom. For the magnetic moment, the calculation gives 0.0 μB/f.u.



[10]
Entry from Alexandria via LeMat-Bulk: Ba2OsPd after structural relaxation (PBEsol). Values from VASP.

Geometry as Quantum ESPRESSO input:
```
&SYSTEM
  ibrav = 0, nat = 4, ntyp = 3
/
ATOMIC_SPECIES
Ba 137.33 Ba.upf
Pd 106.42 Pd.upf
Os 190.23 Os.upf
CELL_PARAMETERS angstrom
5.269 0.000 0.000
2.635 4.563 0.000
2.635 1.521 4.302
ATOMIC_POSITIONS crystal
Ba 0.250 0.250 0.250
Ba 0.750 0.750 0.750
Pd 0.000 0.000 0.000
Os 0.500 0.500 0.500
```

Output
As for the symmetry: No. 225. The formation energy is 2.5 eV/f.u. As for the total DFT energy (no corrections): -5.001 eV/atom. For the magnetic moment, the calculation gives 0.0 μB/f.u.



[11]
Entry from Alexandria via LeMat-Bulk: BaOsPdSe2 after structural relaxation (PBEsol). Values from VASP.

Geometry as Quantum ESPRESSO input:
```
&SYSTEM
  ibrav = 0, nat = 5, ntyp = 4
/
ATOMIC_SPECIES
Pd 106.42 Pd.upf
Se 78.96 Se.upf
Ba 137.33 Ba.upf
Os 190.23 Os.upf
CELL_PARAMETERS angstrom
4.874 0.000 0.000
0.000 4.874 0.000
0.000 0.000 5.646
ATOMIC_POSITIONS crystal
Pd 0.000 0.000 0.000
Se 0.000 0.500 0.000
Se 0.500 0.000 0.000
Ba 0.000 0.000 0.500
Os 0.500 0.500 0.500
```

Output
As for the symmetry: No. 123. The calculation puts the formation energy from raw total energies at 0.92 eV per atom. As for the total DFT energy (no corrections): -4.687 eV/atom. For the magnetic moment, the calculation gives 3.5 μB/f.u.



[12]
Entry from Alexandria via LeMat-Bulk: BaTlOsPd2 after structural relaxation (PBEsol). Values from VASP.

Geometry as Quantum ESPRESSO input:
```
&SYSTEM
  ibrav = 0, nat = 5, ntyp = 4
/
ATOMIC_SPECIES
Pd 106.42 Pd.upf
Os 190.23 Os.upf
Ba 137.33 Ba.upf
Tl 204.38 Tl.upf
CELL_PARAMETERS angstrom
5.179 0.000 0.000
0.000 5.195 0.000
0.000 0.000 5.195
ATOMIC_POSITIONS crystal
Pd 0.000 0.000 0.500
Pd 0.000 0.500 0.000
Os 0.500 0.000 0.000
Ba 0.000 0.000 0.000
Tl 0.500 0.500 0.500
```

Output
As for the symmetry: No. 123. The formation energy is 9.5 eV/f.u. As for the total DFT energy (no corrections): -3.878 eV/atom. For the magnetic moment, the calculation gives 0.9 μB/f.u.